No. 1
Density functional theory data (PBE) for a geometry-optimized K2AlIn structure.

## Properties
- excess energy over the best structure of this formula in the dataset (meV per atom) = 271
- space group = Immm
- formation energy from the elements (eV per atom) = 0.284

Lattice parameters (Å, degrees): 6.685 6.685 6.685 139.22 135.42 62.00
Last column: magnetic moment on the atom in μB.
Sites, in units of the cell vectors:
K 0.997 0.997 0.000  0.00
K 0.503 0.503 0.000  0.00
Al 0.750 0.250 0.500  0.06
In 0.250 0.750 0.500  -0.09

***

No. 2
Density functional theory data (PBE) for a geometry-optimized Sm4RhBr5 structure.

## Properties
- formation energy (no corrections) (eV per atom) = -1.45
- space group = C2/m

Lattice parameters (Å, degrees): 4.030 8.718 9.728 103.34 101.95 90.00
Sites, in units of the cell vectors:
Sm 0.349 0.914 0.698
Sm 0.999 0.784 0.998
Sm 0.651 0.086 0.302
Sm 0.001 0.216 0.002
Rh 0.500 0.000 0.000
Br 0.832 0.659 0.663
Br 0.825 0.157 0.649
Br 0.175 0.843 0.351
Br 0.500 0.500 0.000
Br 0.168 0.341 0.337

***

No. 3
Density functional theory data (PBE) for a geometry-optimized In5Cu structure.

## Properties
- space group = P4/mmm
- formation energy from the elements (eV per atom) = 0.048

Lattice parameters (Å, degrees): 3.235 3.235 13.921 90.00 90.00 90.00
Sites, in units of the cell vectors:
Cu 0.500 0.500 0.000
In 0.000 0.000 0.875
In 0.000 0.000 0.125
In 0.500 0.500 0.688
In 0.500 0.500 0.312
In 0.000 0.000 0.500

***

No. 4
Density functional theory data (PBE) for a geometry-optimized Tb2LuC structure.

## Properties
- space group = R-3m
- formation energy from the elements (eV per atom) = -0.036

Lattice parameters (Å, degrees): 3.538 3.538 9.751 79.55 79.55 60.00
Last column: magnetic moment on the atom in μB.
Sites, in units of the cell vectors:
C 0.500 0.500 0.500  0.01
Lu 0.000 0.000 0.000  -0.11
Tb 0.119 0.119 0.642  -0.04
Tb 0.881 0.881 0.358  -0.04

***

No. 5
Density functional theory data (PBE) for a geometry-optimized Tb2SiH structure.

## Properties
- excess energy over the best structure of this formula in the dataset (meV per atom) = 0
- space group = P3_121

Lattice parameters (Å, degrees): 6.099 6.099 7.927 90.00 90.00 120.00
Sites, in units of the cell vectors:
Tb 0.885 0.275 0.959
Tb 0.390 0.115 0.626
Tb 0.725 0.610 0.293
Tb 0.275 0.885 0.041
Tb 0.115 0.390 0.374
Tb 0.610 0.725 0.707
Si 0.405 0.405 0.000
Si 0.000 0.595 0.667
Si 0.595 0.000 0.333
H 0.455 0.455 0.500
H 0.000 0.545 0.167
H 0.545 0.000 0.833

***

What total DFT energy (no corrections) values result from the calculations? In sequence: -7.54, -49.07, -17.50, -23.15, -59.25 eV per cell.